Here is a geometry-optimized Sm3Al12Ru4 structure from Alexandria via LeMat-Bulk. Energies are from PBEsol.

Cell lengths 8.776, 8.776, 9.562 Å; angles 90.00, 90.00, 120.00 degrees
Atoms (fractional coordinates):
Sm  0.192  0.385  0.250
Sm  0.192  0.808  0.250
Sm  0.385  0.192  0.750
Sm  0.615  0.808  0.250
Sm  0.808  0.192  0.750
Sm  0.808  0.615  0.750
Al  0.000  0.000  0.250
Al  0.000  0.000  0.750
Al  0.123  0.562  0.750
Al  0.163  0.325  0.576
Al  0.163  0.325  0.924
Al  0.163  0.837  0.576
Al  0.163  0.837  0.924
Al  0.325  0.163  0.076
Al  0.325  0.163  0.424
Al  0.333  0.667  0.013
Al  0.333  0.667  0.487
Al  0.438  0.562  0.750
Al  0.438  0.877  0.750
Al  0.562  0.123  0.250
Al  0.562  0.438  0.250
Al  0.667  0.333  0.513
Al  0.667  0.333  0.987
Al  0.675  0.837  0.576
Al  0.675  0.837  0.924
Al  0.837  0.163  0.076
Al  0.837  0.163  0.424
Al  0.837  0.675  0.076
Al  0.837  0.675  0.424
Al  0.877  0.438  0.250
Ru  0.000  0.000  0.000
Ru  0.000  0.000  0.500
Ru  0.000  0.500  0.000
Ru  0.000  0.500  0.500
Ru  0.500  0.000  0.000
Ru  0.500  0.000  0.500
Ru  0.500  0.500  0.000
Ru  0.500  0.500  0.500


Here is a geometry-optimized AlSnRu3 structure from Alexandria via LeMat-Bulk. Energies are from PBEsol.

Cell lengths 4.385, 4.385, 4.385 Å; angles 90.00, 90.00, 90.00 degrees
Atoms (fractional coordinates):
Al  0.000  0.000  0.000
Sn  0.500  0.500  0.500
Ru  0.000  0.000  0.500
Ru  0.000  0.500  0.000
Ru  0.500  0.000  0.000


no.,calculated total energy (Ry per atom)
1,-0.4533
2,-0.5056